(1)
VASP calculation (GGA-PBE) on a relaxed CaMg2 crystal.

Geometry as CIF:
```
data_CaMg2
_cell_length_a 11.566
_cell_length_b 5.504
_cell_length_c 5.367
_cell_angle_alpha 90.00
_cell_angle_beta 90.00
_cell_angle_gamma 90.00
_space_group_name_H-M_alt 'C m c m'
_space_group_IT_number 63
_space_group_name_Hall '-C 2c 2'
loop_
_atom_site_label
_atom_site_type_symbol
_atom_site_fract_x
_atom_site_fract_y
_atom_site_fract_z
Ca1 Ca 0.000 0.229 0.250
Mg1 Mg 0.186 0.300 0.750
```

calculated volume	85.4	Å³/f.u.
final energy	-21.40	eV/cell
ΔH_f (0 K)	-0.05	eV/atom



(2)
VASP calculation (GGA-PBE) on a relaxed TaGe3Pb crystal.

Geometry as CIF:
```
data_TaGe3Pb
_cell_length_a 5.255
_cell_length_b 5.255
_cell_length_c 5.255
_cell_angle_alpha 90.00
_cell_angle_beta 90.00
_cell_angle_gamma 90.00
_space_group_name_H-M_alt 'P m -3 m'
_space_group_IT_number 221
_space_group_name_Hall '-P 4 2 3'
loop_
_atom_site_label
_atom_site_type_symbol
_atom_site_fract_x
_atom_site_fract_y
_atom_site_fract_z
Ta1 Ta 0.000 0.000 0.000
Ge1 Ge 0.000 0.500 0.500
Pb1 Pb 0.500 0.500 0.500
```

calculated volume	145.1	Å³/f.u.
final energy	-20.20	eV/cell
energy relative to the lowest polymorph listed for this composition	1468.1	meV per atom
ΔH_f (0 K)	1.84	eV/atom



(3)
VASP calculation (GGA-PBE) on a relaxed Li2ZnSnS4 crystal.

Geometry as CIF:
```
data_Li2ZnSnS4
_cell_length_a 5.675
_cell_length_b 5.675
_cell_length_c 10.866
_cell_angle_alpha 90.00
_cell_angle_beta 90.00
_cell_angle_gamma 90.00
_space_group_name_H-M_alt 'I -4'
_space_group_IT_number 82
_space_group_name_Hall 'I -4'
loop_
_atom_site_label
_atom_site_type_symbol
_atom_site_fract_x
_atom_site_fract_y
_atom_site_fract_z
Li1 Li 0.000 0.000 0.000
Li2 Li 0.000 0.500 0.250
Zn1 Zn 0.000 0.500 0.750
Sn1 Sn 0.000 0.000 0.500
S1 S 0.242 0.746 0.629
```

calculated volume	175.0	Å³/f.u.
final energy	-65.62	eV/cell
uncorrected formation energy	-0.899	eV per atom



(4)
VASP calculation (GGA-PBE) on a relaxed Cd2SbAu crystal.

Geometry as CIF:
```
data_Cd2SbAu
_cell_length_a 11.366
_cell_length_b 3.378
_cell_length_c 4.858
_cell_angle_alpha 90.00
_cell_angle_beta 91.61
_cell_angle_gamma 90.00
_space_group_name_H-M_alt 'C 1 2/m 1'
_space_group_IT_number 12
_space_group_name_Hall '-C 2y'
loop_
_atom_site_label
_atom_site_type_symbol
_atom_site_fract_x
_atom_site_fract_y
_atom_site_fract_z
Cd1 Cd 0.244 0.000 0.244
Sb1 Sb 0.000 0.500 0.500
Au1 Au 0.000 0.000 0.000
```

calculated volume	93.2	Å³/f.u.
final energy	-18.33	eV/cell
uncorrected formation energy	0.016	eV per atom



(5)
VASP calculation (GGA-PBE) on a relaxed Mg2Sc crystal.

Geometry as CIF:
```
data_Mg2Sc
_cell_length_a 3.158
_cell_length_b 3.158
_cell_length_c 29.344
_cell_angle_alpha 90.00
_cell_angle_beta 90.00
_cell_angle_gamma 90.00
_space_group_name_H-M_alt 'I 41/a m d'
_space_group_IT_number 141
loop_
_space_group_symop_operation_xyz
'x,y,z'
'-x,-y,-z'
'-y+1/4,x+3/4,z+1/4'
'y+1/4,-x+3/4,-z+1/4'
'-x+1/2,-y,z+1/2'
'x+1/2,y,-z+1/2'
'y+1/4,-x+1/4,z+3/4'
'-y+1/4,x+1/4,-z+3/4'
'x,-y,-z'
'-x,y,z'
'-y+1/4,-x+1/4,-z+3/4'
'y+1/4,x+1/4,z+3/4'
'-x+1/2,y,-z+1/2'
'x+1/2,-y,z+1/2'
'y+1/4,x+3/4,-z+1/4'
'-y+1/4,-x+3/4,z+1/4'
'x+1/2,y+1/2,z+1/2'
'-x+1/2,-y+1/2,-z+1/2'
'-y+3/4,x+1/4,z+3/4'
'y+3/4,-x+1/4,-z+3/4'
'-x,-y+1/2,z'
'x,y+1/2,-z'
'y+3/4,-x+3/4,z+1/4'
'-y+3/4,x+3/4,-z+1/4'
'x+1/2,-y+1/2,-z+1/2'
'-x+1/2,y+1/2,z+1/2'
'-y+3/4,-x+3/4,-z+1/4'
'y+3/4,x+3/4,z+1/4'
'-x,y+1/2,-z'
'x,-y+1/2,z'
'y+3/4,x+1/4,-z+3/4'
'-y+3/4,-x+1/4,z+3/4'
loop_
_atom_site_label
_atom_site_type_symbol
_atom_site_fract_x
_atom_site_fract_y
_atom_site_fract_z
Mg1 Mg 0.000 0.250 0.296
Sc1 Sc 0.000 0.250 0.875
```

calculated volume	73.2	Å³/f.u.
final energy	-37.29	eV/cell
ΔH_f (0 K)	0.07	eV/atom



(6)
VASP calculation (GGA-PBE) on a relaxed ScTlCu2Au crystal.

Geometry as CIF:
```
data_ScTlCu2Au
_cell_length_a 4.853
_cell_length_b 4.853
_cell_length_c 5.055
_cell_angle_alpha 90.00
_cell_angle_beta 90.00
_cell_angle_gamma 90.00
_space_group_name_H-M_alt 'P 4/m m m'
_space_group_IT_number 123
_space_group_name_Hall '-P 4 2'
loop_
_atom_site_label
_atom_site_type_symbol
_atom_site_fract_x
_atom_site_fract_y
_atom_site_fract_z
Sc1 Sc 0.000 0.000 0.000
Tl1 Tl 0.500 0.500 0.000
Cu1 Cu 0.000 0.500 0.500
Au1 Au 0.000 0.000 0.500
```

calculated volume	119.1	Å³/f.u.
final energy	-18.50	eV/cell
ΔH_f (0 K)	0.33	eV/atom



(7)
VASP calculation (GGA-PBE) on a relaxed ZrScSe3 crystal.

Geometry as CIF:
```
data_ZrScSe3
_cell_length_a 5.176
_cell_length_b 5.176
_cell_length_c 5.176
_cell_angle_alpha 90.00
_cell_angle_beta 90.00
_cell_angle_gamma 90.00
_space_group_name_H-M_alt 'P m -3 m'
_space_group_IT_number 221
_space_group_name_Hall '-P 4 2 3'
loop_
_atom_site_label
_atom_site_type_symbol
_atom_site_fract_x
_atom_site_fract_y
_atom_site_fract_z
Zr1 Zr 0.000 0.000 0.000
Sc1 Sc 0.500 0.500 0.500
Se1 Se 0.000 0.000 0.500
```

calculated volume	138.7	Å³/f.u.
final energy	-28.68	eV/cell
uncorrected formation energy	-0.669	eV per atom
energy relative to the lowest polymorph listed for this composition	825.6	meV per atom



(8)
VASP calculation (GGA-PBE) on a relaxed CeTmInHg crystal.

Geometry as CIF:
```
data_CeTmInHg
_cell_length_a 7.567
_cell_length_b 7.567
_cell_length_c 7.567
_cell_angle_alpha 90.00
_cell_angle_beta 90.00
_cell_angle_gamma 90.00
_space_group_name_H-M_alt 'F -4 3 m'
_space_group_IT_number 216
_space_group_name_Hall 'F -4 2 3'
loop_
_atom_site_label
_atom_site_type_symbol
_atom_site_fract_x
_atom_site_fract_y
_atom_site_fract_z
Ce1 Ce 0.000 0.000 0.000
Tm1 Tm 0.000 0.000 0.500
In1 In 0.250 0.250 0.250
Hg1 Hg 0.250 0.250 0.750
```

calculated volume	108.3	Å³/f.u.
final energy	-59.69	eV/cell
ΔH_f (0 K)	-0.37	eV/atom



(9)
VASP calculation (GGA-PBE) on a relaxed Ac3Al5Se12 crystal.

Geometry as CIF:
```
data_Ac3Al5Se12
_cell_length_a 16.259
_cell_length_b 16.259
_cell_length_c 16.259
_cell_angle_alpha 90.00
_cell_angle_beta 90.00
_cell_angle_gamma 90.00
_space_group_name_H-M_alt 'I a -3 d'
_space_group_IT_number 230
_space_group_name_Hall '-I 4bd 2c 3'
loop_
_atom_site_label
_atom_site_type_symbol
_atom_site_fract_x
_atom_site_fract_y
_atom_site_fract_z
Ac1 Ac 0.000 0.250 0.125
Al1 Al 0.000 0.000 0.000
Al2 Al 0.000 0.250 0.375
Se1 Se 0.032 0.054 0.647
```

calculated volume	537.3	Å³/f.u.
final energy	-790.74	eV/cell
uncorrected formation energy	-1.300	eV per atom



(10)
VASP calculation (GGA-PBE) on a relaxed TaTi4Mn5 crystal.

Geometry as CIF:
```
data_TaTi4Mn5
_cell_length_a 3.008
_cell_length_b 3.008
_cell_length_c 15.007
_cell_angle_alpha 90.00
_cell_angle_beta 90.00
_cell_angle_gamma 90.00
_space_group_name_H-M_alt 'P 4/m m m'
_space_group_IT_number 123
_space_group_name_Hall '-P 4 2'
loop_
_atom_site_label
_atom_site_type_symbol
_atom_site_fract_x
_atom_site_fract_y
_atom_site_fract_z
Ta1 Ta 0.000 0.000 0.000
Ti1 Ti 0.000 0.000 0.202
Ti2 Ti 0.000 0.000 0.400
Mn1 Mn 0.500 0.500 0.102
Mn2 Mn 0.500 0.500 0.302
Mn3 Mn 0.500 0.500 0.500
```

calculated volume	135.8	Å³/f.u.
final energy	-91.75	eV/cell
ΔH_f (0 K)	-0.25	eV/atom



(11)
VASP calculation (GGA-PBE) on a relaxed Tb3CeDy4Se8 crystal.

Geometry as CIF:
```
data_Tb3CeDy4Se8
_cell_length_a 8.1894
_cell_length_b 8.1894
_cell_length_c 20.1000
_cell_angle_alpha 90.00
_cell_angle_beta 90.00
_cell_angle_gamma 120.00
_space_group_name_H-M_alt 'R -3 m'
_space_group_IT_number 166
_space_group_name_Hall '-R 3 2"'
loop_
_atom_site_label
_atom_site_type_symbol
_atom_site_fract_x
_atom_site_fract_y
_atom_site_fract_z
Tb1 Tb 0.0000 0.5000 0.0000
Ce1 Ce 0.0000 0.0000 0.0000
Dy1 Dy 0.0000 0.0000 0.5000
Dy2 Dy 0.0000 0.5000 0.5000
Se1 Se 0.0000 0.0000 0.2493
Se2 Se 0.0034 0.5017 0.2485
```

calculated volume	389.2	Å³/f.u.
final energy	-283.18	eV/cell
uncorrected formation energy	-1.768	eV per atom



(12)
VASP calculation (GGA-PBE) on a relaxed KCe2Pd2S6 crystal.

Geometry as CIF:
```
data_KCe2Pd2S6
_cell_length_a 5.168
_cell_length_b 7.164
_cell_length_c 7.839
_cell_angle_alpha 110.13
_cell_angle_beta 106.01
_cell_angle_gamma 99.75
_space_group_name_H-M_alt 'P -1'
_space_group_IT_number 2
_space_group_name_Hall '-P 1'
loop_
_atom_site_label
_atom_site_type_symbol
_atom_site_fract_x
_atom_site_fract_y
_atom_site_fract_z
K1 K 0.000 0.000 0.000
Ce1 Ce 0.403 0.295 0.700
Pd1 Pd 0.256 0.705 0.624
S1 S 0.171 0.859 0.390
S2 S 0.226 0.363 0.377
S3 S 0.406 0.688 0.934
```

calculated volume	250.5	Å³/f.u.
final energy	-60.88	eV/cell
uncorrected formation energy	-1.160	eV per atom



(13)
VASP calculation (GGA-PBE) on a relaxed HfReSi crystal.

Geometry as CIF:
```
data_HfReSi
_cell_length_a 5.020
_cell_length_b 6.267
_cell_length_c 6.081
_cell_angle_alpha 90.00
_cell_angle_beta 90.00
_cell_angle_gamma 90.00
_space_group_name_H-M_alt 'I m a 2'
_space_group_IT_number 46
_space_group_name_Hall 'I 2 -2a'
loop_
_atom_site_label
_atom_site_type_symbol
_atom_site_fract_x
_atom_site_fract_y
_atom_site_fract_z
Hf1 Hf 0.250 0.145 0.000
Re1 Re 0.250 0.693 0.182
Si1 Si 0.000 0.000 0.369
```

calculated volume	47.8	Å³/f.u.
final energy	-117.62	eV/cell
uncorrected formation energy	-0.527	eV per atom



(14)
VASP calculation (GGA-PBE) on a relaxed FeCo2Sb2 crystal.

Geometry as CIF:
```
data_FeCo2Sb2
_cell_length_a 7.133
_cell_length_b 7.133
_cell_length_c 3.064
_cell_angle_alpha 90.00
_cell_angle_beta 90.00
_cell_angle_gamma 90.00
_space_group_name_H-M_alt 'P 4/m b m'
_space_group_IT_number 127
_space_group_name_Hall '-P 4 2ab'
loop_
_atom_site_label
_atom_site_type_symbol
_atom_site_fract_x
_atom_site_fract_y
_atom_site_fract_z
Fe1 Fe 0.000 0.000 0.000
Co1 Co 0.135 0.365 0.500
Sb1 Sb 0.161 0.661 0.000
```

calculated volume	77.9	Å³/f.u.
final energy	-58.81	eV/cell
uncorrected formation energy	0.303	eV per atom
energy relative to the lowest polymorph listed for this composition	0.0	meV per atom



(15)
VASP calculation (GGA-PBE) on a relaxed Cd2AsIrBr crystal.

Geometry as CIF:
```
data_Cd2AsIrBr
_cell_length_a 5.403
_cell_length_b 5.403
_cell_length_c 4.529
_cell_angle_alpha 90.00
_cell_angle_beta 90.00
_cell_angle_gamma 90.00
_space_group_name_H-M_alt 'P 4/m m m'
_space_group_IT_number 123
_space_group_name_Hall '-P 4 2'
loop_
_atom_site_label
_atom_site_type_symbol
_atom_site_fract_x
_atom_site_fract_y
_atom_site_fract_z
Cd1 Cd 0.000 0.500 0.000
As1 As 0.000 0.000 0.500
Ir1 Ir 0.000 0.000 0.000
Br1 Br 0.500 0.500 0.500
```

calculated volume	132.2	Å³/f.u.
final energy	-17.78	eV/cell
uncorrected formation energy	-0.153	eV per atom



(16)
VASP calculation (GGA-PBE) on a relaxed Sc2MnCd crystal.

Geometry as CIF:
```
data_Sc2MnCd
_cell_length_a 3.174
_cell_length_b 3.265
_cell_length_c 7.582
_cell_angle_alpha 90.00
_cell_angle_beta 90.00
_cell_angle_gamma 90.00
_space_group_name_H-M_alt 'P m m m'
_space_group_IT_number 47
_space_group_name_Hall '-P 2 2'
loop_
_atom_site_label
_atom_site_type_symbol
_atom_site_fract_x
_atom_site_fract_y
_atom_site_fract_z
Sc1 Sc 0.000 0.000 0.215
Mn1 Mn 0.500 0.500 0.000
Cd1 Cd 0.500 0.500 0.500
```

calculated volume	78.6	Å³/f.u.
final energy	-23.27	eV/cell
ΔH_f (0 K)	-0.13	eV/atom



(17)
VASP calculation (GGA-PBE) on a relaxed Al2C crystal.

Geometry as CIF:
```
data_Al2C
_cell_length_a 9.986
_cell_length_b 2.875
_cell_length_c 5.682
_cell_angle_alpha 90.00
_cell_angle_beta 105.43
_cell_angle_gamma 90.00
_space_group_name_H-M_alt 'C 1 2/m 1'
_space_group_IT_number 12
_space_group_name_Hall '-C 2y'
loop_
_atom_site_label
_atom_site_type_symbol
_atom_site_fract_x
_atom_site_fract_y
_atom_site_fract_z
Al1 Al 0.141 0.000 0.334
Al2 Al 0.146 0.000 0.818
C1 C 0.002 0.500 0.129
```

calculated volume	39.3	Å³/f.u.
final energy	-62.96	eV/cell
ΔH_f (0 K)	0.32	eV/atom



(18)
VASP calculation (GGA-PBE) on a relaxed K2LiZrN crystal.

Geometry as CIF:
```
data_K2LiZrN
_cell_length_a 5.287
_cell_length_b 5.287
_cell_length_c 5.384
_cell_angle_alpha 90.00
_cell_angle_beta 90.00
_cell_angle_gamma 90.00
_space_group_name_H-M_alt 'P 4/m m m'
_space_group_IT_number 123
_space_group_name_Hall '-P 4 2'
loop_
_atom_site_label
_atom_site_type_symbol
_atom_site_fract_x
_atom_site_fract_y
_atom_site_fract_z
K1 K 0.000 0.500 0.000
Li1 Li 0.000 0.000 0.000
Zr1 Zr 0.000 0.000 0.500
N1 N 0.500 0.500 0.500
```

calculated volume	150.5	Å³/f.u.
final energy	-11.93	eV/cell
uncorrected formation energy	1.811	eV per atom



(19)
VASP calculation (GGA-PBE) on a relaxed BaMgRu crystal.

Geometry as CIF:
```
data_BaMgRu
_cell_length_a 6.900
_cell_length_b 6.900
_cell_length_c 6.900
_cell_angle_alpha 90.00
_cell_angle_beta 90.00
_cell_angle_gamma 90.00
_space_group_name_H-M_alt 'F -4 3 m'
_space_group_IT_number 216
_space_group_name_Hall 'F -4 2 3'
loop_
_atom_site_label
_atom_site_type_symbol
_atom_site_fract_x
_atom_site_fract_y
_atom_site_fract_z
Ba1 Ba 0.000 0.000 0.000
Mg1 Mg 0.000 0.000 0.500
Ru1 Ru 0.250 0.250 0.250
```

calculated volume	82.1	Å³/f.u.
final energy	-45.09	eV/cell
ΔH_f (0 K)	0.51	eV/atom



(20)
VASP calculation (GGA-PBE) on a relaxed SrTl2IrCl crystal.

Geometry as CIF:
```
data_SrTl2IrCl
_cell_length_a 6.566
_cell_length_b 6.566
_cell_length_c 5.027
_cell_angle_alpha 90.00
_cell_angle_beta 90.00
_cell_angle_gamma 90.00
_space_group_name_H-M_alt 'P 4/m m m'
_space_group_IT_number 123
_space_group_name_Hall '-P 4 2'
loop_
_atom_site_label
_atom_site_type_symbol
_atom_site_fract_x
_atom_site_fract_y
_atom_site_fract_z
Sr1 Sr 0.000 0.000 0.000
Tl1 Tl 0.000 0.500 0.000
Ir1 Ir 0.000 0.000 0.500
Cl1 Cl 0.500 0.500 0.500
```

calculated volume	216.8	Å³/f.u.
final energy	-13.33	eV/cell
uncorrected formation energy	0.759	eV per atom



(21)
VASP calculation (GGA-PBE) on a relaxed Al2Ni2Au crystal.

Geometry as CIF:
```
data_Al2Ni2Au
_cell_length_a 6.959
_cell_length_b 6.959
_cell_length_c 2.790
_cell_angle_alpha 90.00
_cell_angle_beta 90.00
_cell_angle_gamma 90.00
_space_group_name_H-M_alt 'P 4/m b m'
_space_group_IT_number 127
_space_group_name_Hall '-P 4 2ab'
loop_
_atom_site_label
_atom_site_type_symbol
_atom_site_fract_x
_atom_site_fract_y
_atom_site_fract_z
Al1 Al 0.163 0.337 0.000
Ni1 Ni 0.131 0.631 0.500
Au1 Au 0.000 0.000 0.500
```

calculated volume	67.6	Å³/f.u.
final energy	-49.40	eV/cell
energy relative to the lowest polymorph listed for this composition	0.0	meV per atom
ΔH_f (0 K)	-0.48	eV/atom



(22)
VASP calculation (GGA-PBE) on a relaxed RbUZnTe3 crystal.

Geometry as CIF:
```
data_RbUZnTe3
_cell_length_a 10.044
_cell_length_b 4.436
_cell_length_c 10.737
_cell_angle_alpha 90.00
_cell_angle_beta 110.53
_cell_angle_gamma 90.00
_space_group_name_H-M_alt 'P 1 21/m 1'
_space_group_IT_number 11
_space_group_name_Hall '-P 2yb'
loop_
_atom_site_label
_atom_site_type_symbol
_atom_site_fract_x
_atom_site_fract_y
_atom_site_fract_z
Rb1 Rb 0.212 0.250 0.245
U1 U 0.331 0.750 0.861
Zn1 Zn 0.089 0.250 0.613
Te1 Te 0.109 0.250 0.866
Te2 Te 0.200 0.750 0.538
Te3 Te 0.466 0.750 0.169
```

calculated volume	224.0	Å³/f.u.
final energy	-54.21	eV/cell
uncorrected formation energy	-0.691	eV per atom